Re2AgSb GGA-PBE optimized geometry; SG = F-43m; formation energy without anion corrections = 824.8 meV per atom; M_tot = 0.000 μB per atom
1.0
0.000 3.253 3.253
3.253 0.000 3.253
3.253 3.253 0.000
Re Ag Sb
2 1 1
Direct
0.000 0.000 0.000
0.250 0.250 0.250
0.750 0.750 0.750
0.500 0.500 0.500